No. 1
Density functional theory data (PBE with a Hubbard U) for a relaxed Rb2Zn3NiF12 crystal.

a = 7.361 Å, b = 7.361 Å, c = 7.361 Å
α = 59.35°, β = 59.35°, γ = 59.35°
Positions (direct):
Rb 0.624 0.624 0.624
Rb 0.376 0.376 0.376
Zn 0.500 0.000 0.000
Zn 0.000 0.500 0.000
Zn 0.000 0.000 0.500
Ni 0.000 0.000 0.000
F 0.328 0.328 0.930
F 0.933 0.933 0.306
F 0.306 0.933 0.933
F 0.930 0.328 0.328
F 0.933 0.306 0.933
F 0.328 0.930 0.328
F 0.672 0.672 0.070
F 0.067 0.067 0.694
F 0.694 0.067 0.067
F 0.070 0.672 0.672
F 0.067 0.694 0.067
F 0.672 0.070 0.672

Calculated volume (Å³/atom): 15.436
Total energy (eV for the cell shown): -70.57
Spin magnetization (μB per formula unit): 0.16
Crystal system: trigonal
Space-group type: R-3m (166)

***

No. 2
Density functional theory data (PBE with a Hubbard U) for a relaxed ReNiF3 crystal.

a = 4.144 Å, b = 4.144 Å, c = 4.144 Å
α = 90.00°, β = 90.00°, γ = 90.00°
Positions (direct):
Re 0.000 0.000 0.000
F 0.000 0.500 0.000
F 0.000 0.000 0.500
F 0.500 0.000 0.000
Ni 0.500 0.500 0.500

Calculated volume (Å³/atom): 14.238
Total energy (eV for the cell shown): -20.90
Spin magnetization (μB per formula unit): 2.09
Crystal system: cubic
Space-group type: Pm-3m (221)

***

No. 3
Density functional theory data (PBE with a Hubbard U) for a relaxed ReNi3F crystal.

a = 4.509 Å, b = 4.509 Å, c = 4.509 Å
α = 90.00°, β = 90.00°, γ = 90.00°
Positions (direct):
Re 0.000 0.000 0.000
F 0.500 0.500 0.500
Ni 0.000 0.500 0.000
Ni 0.000 0.000 0.500
Ni 0.500 0.000 0.000

Calculated volume (Å³/atom): 18.330
Total energy (eV for the cell shown): -12.04
Spin magnetization (μB per formula unit): 2.23
Crystal system: cubic
Space-group type: Pm-3m (221)

***

No. 4
Density functional theory data (PBE with a Hubbard U) for a relaxed Re2NiF crystal.

a = 4.114 Å, b = 4.114 Å, c = 4.114 Å
α = 60.00°, β = 60.00°, γ = 60.00°
Positions (direct):
Re 0.250 0.250 0.250
Re 0.750 0.750 0.750
F 0.000 0.000 0.000
Ni 0.500 0.500 0.500

Calculated volume (Å³/atom): 12.309
Total energy (eV for the cell shown): -26.22
Spin magnetization (μB per formula unit): 0.00
Crystal system: cubic
Space-group type: Fm-3m (225)

***

No. 5
Density functional theory data (PBE with a Hubbard U) for a relaxed ReNiF6 crystal.

a = 5.658 Å, b = 5.051 Å, c = 5.051 Å
α = 59.95°, β = 90.55°, γ = 89.45°
Positions (direct):
Re 0.000 0.021 0.021
Ni 0.500 0.021 0.021
F 0.764 0.732 0.309
F 0.236 0.309 0.732
F 0.244 0.021 0.309
F 0.244 0.733 0.021
F 0.756 0.021 0.733
F 0.756 0.309 0.021

Calculated volume (Å³/atom): 15.614
Total energy (eV for the cell shown): -41.60
Spin magnetization (μB per formula unit): 1.00
Crystal system: monoclinic
Space-group type: C2/m (12)

***

No. 6
Density functional theory data (PBE with a Hubbard U) for a relaxed Re2NiF crystal.

a = 6.434 Å, b = 6.434 Å, c = 5.198 Å
α = 51.77°, β = 51.77°, γ = 90.00°
Positions (direct):
Re 0.582 0.125 0.250
Re 0.168 0.625 0.250
Re 0.375 0.418 0.750
Re 0.875 0.832 0.750
F 0.500 0.500 0.000
F 0.250 0.750 0.500
Ni 0.000 0.000 0.000
Ni 0.750 0.250 0.500

Calculated volume (Å³/atom): 13.010
Total energy (eV for the cell shown): -50.42
Spin magnetization (μB per formula unit): 0.00
Crystal system: tetragonal
Space-group type: I-42d (122)

***

No. 7
Density functional theory data (PBE with a Hubbard U) for a relaxed Re3NiF crystal.

a = 4.127 Å, b = 4.127 Å, c = 4.127 Å
α = 90.00°, β = 90.00°, γ = 90.00°
Positions (direct):
Re 0.000 0.500 0.000
Re 0.000 0.000 0.500
Re 0.500 0.000 0.000
F 0.000 0.000 0.000
Ni 0.500 0.500 0.500

Calculated volume (Å³/atom): 14.063
Total energy (eV for the cell shown): -33.13
Spin magnetization (μB per formula unit): 0.00
Crystal system: cubic
Space-group type: Pm-3m (221)

***

No. 8
Density functional theory data (PBE with a Hubbard U) for a relaxed Re2NiSnF crystal.

a = 5.095 Å, b = 4.132 Å, c = 5.095 Å
α = 90.00°, β = 90.00°, γ = 90.00°
Positions (direct):
Re 0.000 0.000 0.500
Re 0.500 0.000 0.000
F 0.000 0.500 0.000
Sn 0.000 0.000 0.000
Ni 0.500 0.500 0.500

Calculated volume (Å³/atom): 21.447
Total energy (eV for the cell shown): -22.86
Spin magnetization (μB per formula unit): 5.34
Crystal system: tetragonal
Space-group type: P4/mmm (123)

***

> What is the total energy in the first record?

-70.57 eV for the cell shown